A plane-wave DFT calculation with PBE was carried out for an optimized crystal structure of Cd2PtPb.

Properties
Energy relative to the elements = -0.0755 eV per atom
Magnetization = 0.00 μB per formula unit
N(E_F) = 0.33 states/eV per atom

abc: 3.2756 3.6213 7.6317
angles: 90.00 90.00 90.00
Last column: nearest neighbours and their distance in Å.
Space group Pmm2 (No. 25)
Asymmetric unit:
Cd  0.0000  0.0000  0.0000 [1 per cell]  4 Pt 2.86, 4 Cd 3.07
Cd  0.5000  0.5000  0.2432 [1 per cell]  6 Cd 3.07-3.28, 1 Pt 3.34
Pt  0.5000  0.5000  0.8052 [1 per cell]  4 Cd 2.86, 4 Pb 3.01
Pb  0.0000  0.0000  0.5749 [1 per cell]  4 Pt 3.01, 1 Cd 3.24, 2 Pb 3.28